# 1
The following is a DFT calculation (PBE) of a geometry-optimized BeFeIr2 structure.

Cell: 2.7203 2.7203 6.3656 Å, 90.00 90.00 90.00°
Space group P4mm (No. 99)
Symmetry-distinct sites (fractional):
Be (0.0000, 0.0000, 0.0000)
Fe (0.5000, 0.5000, 0.2063)
Ir (0.0000, 0.0000, 0.4687)
Ir (0.5000, 0.5000, 0.7809)

Values from the calculation:
calculated formation energy	-0.15	eV per atom
density	15.8	g/cm³

# 2
The following is a DFT calculation (PBE) of a geometry-optimized La2InGa structure.

Cell: 3.9210 3.9210 28.6232 Å, 90.00 90.00 120.00°
Space group R-3m (No. 166, hexagonal axes)
Symmetry-distinct sites (fractional):
La (0.0000, 0.0000, 0.2440)
In (0.0000, 0.0000, 0.0000)
Ga (0.0000, 0.0000, 0.5000)

Values from the calculation:
calculated formation energy	-0.33	eV per atom
ΔE to the lowest computed polymorph	209.9	meV/atom
density	6.0	g/cm³

# 3
The following is a DFT calculation (PBE) of a geometry-optimized V4CoOs structure.

Cell: 5.6810 5.6814 5.7407 Å, 90.00 90.13 90.00°
Space group C2/m (No. 12)
Symmetry-distinct sites (fractional):
V (0.2497, 0.2503, 0.2390)
Co (0.0000, 0.0000, 0.0000)
Os (0.0000, 0.5000, 0.5000)

Values from the calculation:
calculated formation energy	0.34	eV per atom
density	8.1	g/cm³

# 4
The following is a DFT calculation (PBE) of a geometry-optimized AcGe2BRu2 structure.

Cell: 4.2423 4.2423 5.7892 Å, 90.00 90.00 90.00°
Space group P4/mmm (No. 123)
Symmetry-distinct sites (fractional):
Ac (0.0000, 0.0000, 0.0000)
Ge (0.5000, 0.5000, 0.2337)
B (0.0000, 0.0000, 0.5000)
Ru (0.0000, 0.5000, 0.5000)

Values from the calculation:
calculated formation energy	-0.50	eV per atom
density	9.3	g/cm³

# 5
The following is a DFT calculation (PBE) of a geometry-optimized Nd2TmCo structure.

Cell: 7.0480 9.8599 6.2380 Å, 90.00 90.00 90.00°
Space group Pnma (No. 62)
Symmetry-distinct sites (fractional):
Nd (0.1771, 0.0701, 0.1758)
Tm (0.0444, 0.2500, 0.6569)
Co (0.1171, 0.7500, 0.9537)

Values from the calculation:
calculated formation energy	-0.10	eV per atom
ΔE to the lowest computed polymorph	0.0	meV/atom
density	7.9	g/cm³

# 6
The following is a DFT calculation (PBE) of a geometry-optimized Tb2PuTe structure.

Cell: 3.8359 3.8359 7.7377 Å, 90.00 90.00 90.00°
Space group P4/mmm (No. 123)
Symmetry-distinct sites (fractional):
Tb (0.0000, 0.0000, 0.2298)
Pu (0.5000, 0.5000, 0.5000)
Te (0.5000, 0.5000, 0.0000)

Values from the calculation:
ΔE to the lowest computed polymorph	0.0	meV/atom
density	10.1	g/cm³
formation energy from raw total energies	-0.468	eV per atom

Number 1: final energy -30.52 eV/cell. Number 2: final energy -50.83 eV/cell. Number 3: final energy -105.58 eV/cell. Number 4: final energy -41.55 eV/cell. Number 5: final energy -85.98 eV/cell. Number 6: final energy -28.61 eV/cell.